1.
Density functional theory data (PBE) for a relaxed structure of BeRhI.

Computed properties:
Formation energy without anion corrections: 1257 meV per atom

Lattice parameters (Å, degrees): 4.0515 4.0515 9.9132 90.00 90.00 120.00
Space group P6_3/mmc (No. 194)
Asymmetric unit:
Be 0.3333 0.6667 0.2500 x2
Rh 0.0000 0.0000 0.0000 x2
I 0.0000 0.0000 0.2500 x2

***

2.
Density functional theory data (PBE) for a relaxed structure of Be3RhI.

Computed properties:
Formation energy without anion corrections: 570 meV per atom

Lattice parameters (Å, degrees): 4.383 4.383 4.383 90.00 90.00 90.00
Space group Pm-3m (No. 221)
Asymmetric unit:
Be 0.000 0.000 0.500 x3
Rh 0.000 0.000 0.000 x1
I 0.500 0.500 0.500 x1

***

3.
Density functional theory data (PBE) for a relaxed structure of BeRhI.

Computed properties:
Formation energy without anion corrections: -65 meV per atom

Lattice parameters (Å, degrees): 3.439 4.268 9.370 98.54 90.20 113.75
Space group P1 (No. 1)
Asymmetric unit:
Be 0.000 0.000 0.000 x1
Be 0.187 0.372 0.179 x1
Rh 0.465 0.927 0.187 x1
Rh 0.707 0.415 0.990 x1
I 0.025 0.043 0.406 x1
I 0.395 0.794 0.799 x1

***

4.
Density functional theory data (PBE) for a relaxed structure of BeRhI.

Computed properties:
Formation energy without anion corrections: -149 meV per atom

Lattice parameters (Å, degrees): 3.119 4.063 10.416 82.02 82.04 67.45
Space group P-1 (No. 2)
Asymmetric unit:
Be 0.158 0.214 0.467 x2
Rh 0.468 0.679 0.377 x2
I 0.275 0.237 0.189 x2

***

5.
Density functional theory data (PBE) for a relaxed structure of BeRh2I.

Computed properties:
Formation energy without anion corrections: 447 meV per atom

Lattice parameters (Å, degrees): 6.263 6.263 6.263 90.00 90.00 90.00
Space group Fm-3m (No. 225)
Asymmetric unit:
Be 0.000 0.000 0.000 x4
Rh 0.250 0.250 0.250 x8
I 0.000 0.000 0.500 x4

***

6.
Density functional theory data (PBE) for a relaxed structure of BeRhI.

Computed properties:
Formation energy without anion corrections: -176 meV per atom

Lattice parameters (Å, degrees): 3.703 3.703 10.192 100.18 90.19 119.98
Space group P1 (No. 1)
Asymmetric unit:
Be 0.000 0.000 0.000 x1
Be 0.333 0.667 0.000 x1
Rh 0.624 0.249 0.871 x1
Rh 0.710 0.418 0.129 x1
I 0.103 0.201 0.308 x1
I 0.897 0.799 0.693 x1

***

7.
Density functional theory data (PBE) for a relaxed structure of BeRhI.

Computed properties:
Formation energy without anion corrections: 3 meV per atom

Lattice parameters (Å, degrees): 8.180 3.842 8.490 90.00 90.00 90.00
Space group Pnma (No. 62)
Asymmetric unit:
Be 0.068 0.250 0.006 x4
Rh 0.180 0.750 0.091 x4
I 0.163 0.250 0.325 x4

***

8.
Density functional theory data (PBE) for a relaxed structure of BeRhI.

Computed properties:
Formation energy without anion corrections: -215 meV per atom

Lattice parameters (Å, degrees): 3.737 4.053 9.436 94.19 90.35 117.43
Space group P1 (No. 1)
Asymmetric unit:
Be 0.000 0.000 0.000 x1
Be 0.394 0.784 0.138 x1
Rh 0.092 0.178 0.226 x1
Rh 0.699 0.397 0.034 x1
I 0.200 0.407 0.813 x1
I 0.488 0.965 0.412 x1

***

9.
Density functional theory data (PBE) for a relaxed structure of BeSb2RhI.

Computed properties:
Formation energy without anion corrections: 789 meV per atom

Lattice parameters (Å, degrees): 5.091 5.091 5.650 90.00 90.00 90.00
Space group P4/mmm (No. 123)
Asymmetric unit:
Be 0.000 0.000 0.000 x1
Sb 0.000 0.500 0.500 x2
Rh 0.500 0.500 0.500 x1
I 0.500 0.500 0.000 x1

***

10.
Density functional theory data (PBE) for a relaxed structure of BeSbRhI2.

Computed properties:
Formation energy without anion corrections: 874 meV per atom

Lattice parameters (Å, degrees): 5.104 5.104 4.879 90.00 90.00 90.00
Space group P4/mmm (No. 123)
Asymmetric unit:
Be 0.000 0.000 0.000 x1
Sb 0.000 0.000 0.500 x1
Rh 0.500 0.500 0.500 x1
I 0.000 0.500 0.000 x2

***

11.
Density functional theory data (PBE) for a relaxed structure of BeSbRhI2.

Computed properties:
Formation energy without anion corrections: 732 meV per atom

Lattice parameters (Å, degrees): 5.580 5.580 4.988 90.00 90.00 90.00
Space group P4/mmm (No. 123)
Asymmetric unit:
Be 0.000 0.000 0.000 x1
Sb 0.500 0.500 0.000 x1
Rh 0.500 0.500 0.500 x1
I 0.000 0.500 0.500 x2

***

12.
Density functional theory data (PBE) for a relaxed structure of BeSb2RhI.

Computed properties:
Formation energy without anion corrections: 810 meV per atom

Lattice parameters (Å, degrees): 4.771 4.771 5.092 90.00 90.00 90.00
Space group P4/mmm (No. 123)
Asymmetric unit:
Be 0.000 0.000 0.000 x1
Sb 0.000 0.500 0.000 x2
Rh 0.500 0.500 0.500 x1
I 0.000 0.000 0.500 x1

***

13.
Density functional theory data (PBE) for a relaxed structure of Sr2BeRhI.

Computed properties:
Formation energy without anion corrections: 528 meV per atom

Lattice parameters (Å, degrees): 5.742 5.742 4.666 90.00 90.00 90.00
Space group P4/mmm (No. 123)
Asymmetric unit:
Sr 0.000 0.500 0.000 x2
Be 0.000 0.000 0.000 x1
Rh 0.500 0.500 0.500 x1
I 0.000 0.000 0.500 x1

***

14.
Density functional theory data (PBE) for a relaxed structure of BeTcRh2I.

Computed properties:
Formation energy without anion corrections: 1754 meV per atom

Lattice parameters (Å, degrees): 4.792 4.792 4.875 90.00 90.00 90.00
Space group P4/mmm (No. 123)
Asymmetric unit:
Be 0.000 0.000 0.000 x1
Tc 0.500 0.500 0.000 x1
Rh 0.000 0.500 0.500 x2
I 0.500 0.500 0.500 x1

***

15.
Density functional theory data (PBE) for a relaxed structure of BeTeRhI2.

Computed properties:
Formation energy without anion corrections: 726 meV per atom

Lattice parameters (Å, degrees): 5.522 5.522 5.093 90.00 90.00 90.00
Space group P4/mmm (No. 123)
Asymmetric unit:
Be 0.000 0.000 0.000 x1
Te 0.500 0.500 0.000 x1
Rh 0.500 0.500 0.500 x1
I 0.000 0.500 0.500 x2

***

16.
Density functional theory data (PBE) for a relaxed structure of BeTeRhI2.

Computed properties:
Formation energy without anion corrections: 808 meV per atom

Lattice parameters (Å, degrees): 5.131 5.131 5.003 90.00 90.00 90.00
Space group P4/mmm (No. 123)
Asymmetric unit:
Be 0.000 0.000 0.000 x1
Te 0.000 0.000 0.500 x1
Rh 0.500 0.500 0.500 x1
I 0.000 0.500 0.000 x2

***

17.
Density functional theory data (PBE) for a relaxed structure of Zr2BeRhI.

Computed properties:
Formation energy without anion corrections: 705 meV per atom

Lattice parameters (Å, degrees): 4.769 4.769 4.453 90.00 90.00 90.00
Space group P4/mmm (No. 123)
Asymmetric unit:
Zr 0.000 0.500 0.000 x2
Be 0.000 0.000 0.000 x1
Rh 0.500 0.500 0.500 x1
I 0.000 0.000 0.500 x1

***

18.
Density functional theory data (PBE) for a relaxed structure of BeRu3I.

Computed properties:
Formation energy without anion corrections: 866 meV per atom

Lattice parameters (Å, degrees): 4.241 4.241 4.241 90.00 90.00 90.00
Space group Pm-3m (No. 221)
Asymmetric unit:
Be 0.000 0.000 0.000 x1
Ru 0.000 0.000 0.500 x3
I 0.500 0.500 0.500 x1

***

19.
Density functional theory data (PBE) for a relaxed structure of Be2RuI.

Computed properties:
Formation energy without anion corrections: 956 meV per atom

Lattice parameters (Å, degrees): 6.096 6.096 6.096 90.00 90.00 90.00
Space group Fm-3m (No. 225)
Asymmetric unit:
Be 0.250 0.250 0.250 x8
Ru 0.000 0.000 0.000 x4
I 0.000 0.000 0.500 x4

***

20.
Density functional theory data (PBE) for a relaxed structure of BeRu2I.

Computed properties:
Formation energy without anion corrections: 657 meV per atom

Lattice parameters (Å, degrees): 6.168 6.168 6.168 90.00 90.00 90.00
Space group Fm-3m (No. 225)
Asymmetric unit:
Be 0.000 0.000 0.000 x4
Ru 0.250 0.250 0.250 x8
I 0.000 0.000 0.500 x4

***

Number 1: E_tot -2.95 eV/atom. Number 2: E_tot -3.45 eV/atom. Number 3: E_tot -4.27 eV/atom. Number 4: E_tot -4.36 eV/atom. Number 5: E_tot -4.55 eV/atom. Number 6: E_tot -4.39 eV/atom. Number 7: E_tot -4.21 eV/atom. Number 8: E_tot -4.42 eV/atom. Number 9: E_tot -3.39 eV/atom. Number 10: E_tot -2.79 eV/atom. Number 11: E_tot -2.93 eV/atom. Number 12: E_tot -3.36 eV/atom. Number 13: E_tot -2.67 eV/atom. Number 14: E_tot -4.32 eV/atom. Number 15: E_tot -2.74 eV/atom. Number 16: E_tot -2.66 eV/atom. Number 17: E_tot -5.24 eV/atom. Number 18: E_tot -5.75 eV/atom. Number 19: E_tot -3.61 eV/atom. Number 20: E_tot -5.30 eV/atom.